No. 1
A relaxed TlSb2Pd crystal, computed with PBE.

Computed properties:
spin magnetization: 0.000 μB/atom
ΔE_f (raw): 0.1 eV/f.u.

Cell: 9.495 9.495 9.495 Å, 148.09 148.09 45.75°
Element x y z (fractional)
Tl 0.000 0.000 0.000
Tl 0.750 0.250 0.500
Sb 0.219 0.625 0.094
Sb 0.375 0.469 0.594
Sb 0.531 0.125 0.906
Sb 0.875 0.781 0.406
Pd 0.250 0.750 0.500
Pd 0.500 0.500 0.000


No. 2
A relaxed ScTi2AlHg crystal, computed with PBE.

Computed properties:
spin magnetization: 0.000 μB/atom
E_form: 0.54 eV per atom

Cell: 4.766 4.766 4.986 Å, 90.00 90.00 90.00°
Element x y z (fractional)
Sc 0.000 0.000 0.000
Ti 0.000 0.500 0.500
Ti 0.500 0.000 0.500
Al 0.000 0.000 0.500
Hg 0.500 0.500 0.000


No. 3
A relaxed CSe2 crystal, computed with PBE.

Computed properties:
spin magnetization: 0.000 μB/atom
ΔE_f (raw): 3.6 eV/f.u.

Cell: 6.942 6.942 7.639 Å, 90.00 90.00 120.00°
Element x y z (fractional)
C 0.333 0.667 0.142
C 0.333 0.667 0.358
C 0.667 0.333 0.642
C 0.667 0.333 0.858
Se 0.000 0.000 0.000
Se 0.000 0.000 0.500
Se 0.183 0.367 0.250
Se 0.183 0.817 0.250
Se 0.367 0.183 0.750
Se 0.633 0.817 0.250
Se 0.817 0.183 0.750
Se 0.817 0.633 0.750